VASP calculation (PBE) on MgBeCl2 after structural relaxation.

Values from the calculation:
Energy above the most stable polymorph in this dataset: 11.22 kcal/mol of atoms
E_form (uncorrected): -357 meV/atom
D(E_F): 1.17 states/eV/cell

The structure in CIF format:
```
data_MgBeCl2
_cell_length_a 3.556
_cell_length_b 5.820
_cell_length_c 10.515
_cell_angle_alpha 90.00
_cell_angle_beta 90.00
_cell_angle_gamma 90.00
_space_group_name_H-M_alt 'C m m m'
_space_group_IT_number 65
_space_group_name_Hall '-C 2 2'
loop_
_atom_site_label
_atom_site_type_symbol
_atom_site_fract_x
_atom_site_fract_y
_atom_site_fract_z
Mg1 Mg 0.000 0.000 0.000
Be1 Be 0.000 0.000 0.500
Cl1 Cl 0.000 0.500 0.153
```